An optimized crystal structure of Fe2AsI. Source: the Alexandria database, functional PBE-GGA.

distance to the lowest polymorph of the same formula	181	meV/atom
M_tot	13.6	μB/cell
energy relative to the elements, uncorrected	0.682	eV/atom

Cell and atoms, written as CIF:
```
data_Fe2AsI
_chemical_formula_sum 'Fe8 As4 I4'
_cell_length_a 6.319
_cell_length_b 6.319
_cell_length_c 6.319
_cell_angle_alpha 90.00
_cell_angle_beta 90.00
_cell_angle_gamma 90.00
_symmetry_space_group_name_H-M 'F m -3 m'
_symmetry_Int_Tables_number 225
_symmetry_space_group_name_Hall '-F 4 2 3'
loop_
_atom_site_label
_atom_site_fract_x
_atom_site_fract_y
_atom_site_fract_z
Fe1 0.250 0.250 0.250
As1 0.000 0.000 0.000
I1 0.000 0.000 0.500
```